Entry 1:
VASP calculation (meta-GGA SCAN) on FeTePdC2 at its PBEsol-relaxed geometry.

abc: 3.665 3.665 5.248
angles: 90.00 90.00 90.00
Space group P4/mmm (No. 123)
Asymmetric unit:
Fe1 0.000 0.000 0.000
Te1 0.500 0.500 0.500
Pd1 0.000 0.000 0.500
C1 0.000 0.500 0.000

Properties
- Energy: -20.469 eV per atom
- Uncorrected formation energy: 1.201 eV per atom
- Spin magnetization: 0.00 μB/f.u.
- Calculated volume: 70.5 Å³/cell
- Mass density: 7.4 g/cm3


Entry 2:
VASP calculation (meta-GGA SCAN) on Pr2Fe17C3 at its PBEsol-relaxed geometry.

abc: 8.6221 8.6221 12.2184
angles: 90.00 90.00 120.00
Space group R-3m (No. 166, hexagonal axes)
Asymmetric unit:
Pr1 0.0000 0.0000 0.1515
Fe1 0.0000 0.0000 0.4052
Fe2 0.0000 0.2834 0.5000
Fe3 0.0000 0.5000 0.0000
Fe4 0.0148 0.5074 0.3471
C1 0.0000 0.5000 0.5000

Properties
- Energy: -19.333 eV per atom
- ΔH_f (0 K): -0.0082 eV per atom
- Spin magnetization: 39.03 μB/f.u.
- Calculated volume: 786.6 Å³/cell
- Mass density: 8.0 g/cm3


Entry 3:
VASP calculation (meta-GGA SCAN) on Pr2Fe2Si2C at its PBEsol-relaxed geometry.

abc: 10.722 3.973 6.948
angles: 90.00 128.73 90.00
Space group C2/m (No. 12)
Asymmetric unit:
Pr1 0.060 0.000 0.301
Fe1 0.195 0.500 0.087
Si1 0.178 0.500 0.742
C1 0.000 0.500 0.000

Properties
- Energy: -22.398 eV per atom
- Uncorrected formation energy: -0.535 eV per atom
- Spin magnetization: 0.03 μB/f.u.
- Calculated volume: 230.8 Å³/cell
- Mass density: 6.6 g/cm3


Entry 4:
VASP calculation (meta-GGA SCAN) on FePtC2 at its PBEsol-relaxed geometry.

abc: 4.442 4.442 8.838
angles: 90.00 90.00 90.00
Space group I-42d (No. 122)
Asymmetric unit:
Fe1 0.000 0.000 0.000
Pt1 0.000 0.000 0.500
C1 0.212 0.250 0.125

Properties
- Energy: -26.458 eV per atom
- ΔH_f (0 K): 0.6724 eV per atom
- Spin magnetization: 0.00 μB/f.u.
- Calculated volume: 174.4 Å³/cell
- Mass density: 10.5 g/cm3


Entry 5:
VASP calculation (meta-GGA SCAN) on Fe3PtC at its PBEsol-relaxed geometry.

abc: 4.599 4.599 4.599
angles: 90.00 90.00 90.00
Space group Pm-3m (No. 221)
Asymmetric unit:
Fe1 0.000 0.000 0.500
Pt1 0.000 0.000 0.000
C1 0.500 0.500 0.500

Properties
- Energy: -24.834 eV per atom
- ΔH_f (0 K): 2.1018 eV per atom
- Spin magnetization: 9.50 μB/f.u.
- Calculated volume: 97.3 Å³/cell
- Mass density: 6.4 g/cm3


Entry 6:
VASP calculation (meta-GGA SCAN) on ZnFePtC2 at its PBEsol-relaxed geometry.

abc: 3.781 3.781 4.834
angles: 90.00 90.00 90.00
Space group P4/mmm (No. 123)
Asymmetric unit:
Zn1 0.000 0.000 0.000
Fe1 0.500 0.500 0.500
Pt1 0.000 0.000 0.500
C1 0.000 0.500 0.000

Properties
- Energy: -22.220 eV per atom
- ΔH_f (0 K): 2.1879 eV per atom
- Spin magnetization: 3.77 μB/f.u.
- Calculated volume: 69.1 Å³/cell
- Mass density: 8.2 g/cm3


Entry 7:
VASP calculation (meta-GGA SCAN) on RbYFe2C at its PBEsol-relaxed geometry.

abc: 5.300 5.300 4.528
angles: 90.00 90.00 90.00
Space group P4/mmm (No. 123)
Asymmetric unit:
Rb1 0.000 0.000 0.000
Y1 0.500 0.500 0.500
Fe1 0.000 0.500 0.500
C1 0.500 0.500 0.000

Properties
- Energy: -17.187 eV per atom
- ΔH_f (0 K): 1.8010 eV per atom
- Spin magnetization: 6.84 μB/f.u.
- Calculated volume: 127.2 Å³/cell
- Mass density: 3.9 g/cm3


Entry 8:
VASP calculation (meta-GGA SCAN) on FeSiRh2C at its PBEsol-relaxed geometry.

abc: 4.013 4.013 3.775
angles: 90.00 90.00 90.00
Space group P4/mmm (No. 123)
Asymmetric unit:
Fe1 0.000 0.000 0.000
Si1 0.500 0.500 0.000
Rh1 0.000 0.500 0.500
C1 0.500 0.500 0.500

Properties
- Energy: -20.761 eV per atom
- Uncorrected formation energy: 0.396 eV per atom
- Spin magnetization: 4.36 μB/f.u.
- Calculated volume: 60.8 Å³/cell
- Mass density: 8.2 g/cm3


Entry 9:
VASP calculation (meta-GGA SCAN) on FeTeRhC2 at its PBEsol-relaxed geometry.

abc: 3.635 3.635 5.367
angles: 90.00 90.00 90.00
Space group P4/mmm (No. 123)
Asymmetric unit:
Fe1 0.000 0.000 0.000
Te1 0.000 0.000 0.500
Rh1 0.500 0.500 0.500
C1 0.000 0.500 0.000

Properties
- Energy: -20.576 eV per atom
- Uncorrected formation energy: 1.294 eV per atom
- Spin magnetization: 0.00 μB/f.u.
- Calculated volume: 70.9 Å³/cell
- Mass density: 7.3 g/cm3


Entry 10:
VASP calculation (meta-GGA SCAN) on FeRuC2 at its PBEsol-relaxed geometry.

abc: 5.080 5.080 5.080
angles: 90.00 90.00 90.00
Space group Fm-3m (No. 225)
Asymmetric unit:
Fe1 0.000 0.000 0.000
Ru1 0.000 0.000 0.500
C1 0.250 0.250 0.250

Properties
- Energy: -17.068 eV per atom
- ΔH_f (0 K): 1.2207 eV per atom
- Spin magnetization: 0.00 μB/f.u.
- Calculated volume: 131.1 Å³/cell
- Mass density: 9.2 g/cm3


Entry 11:
VASP calculation (meta-GGA SCAN) on Fe2RuCS at its PBEsol-relaxed geometry.

abc: 4.696 4.696 4.168
angles: 90.00 90.00 90.00
Space group P4/mmm (No. 123)
Asymmetric unit:
Fe1 0.000 0.500 0.000
Ru1 0.000 0.000 0.000
C1 0.500 0.500 0.500
S1 0.000 0.000 0.500

Properties
- Energy: -16.289 eV per atom
- Uncorrected formation energy: 1.873 eV per atom
- Spin magnetization: 5.34 μB/f.u.
- Calculated volume: 91.9 Å³/cell
- Mass density: 4.6 g/cm3


Entry 12:
VASP calculation (meta-GGA SCAN) on ScFeRuC2 at its PBEsol-relaxed geometry.

abc: 3.627 3.627 4.817
angles: 90.00 90.00 90.00
Space group P4/mmm (No. 123)
Asymmetric unit:
Sc1 0.000 0.000 0.000
Fe1 0.000 0.000 0.500
Ru1 0.500 0.500 0.000
C1 0.000 0.500 0.500

Properties
- Energy: -16.089 eV per atom
- ΔH_f (0 K): 1.3896 eV per atom
- Spin magnetization: 0.00 μB/f.u.
- Calculated volume: 63.4 Å³/cell
- Mass density: 5.9 g/cm3


Entry 13:
VASP calculation (meta-GGA SCAN) on ZnFeRuC2 at its PBEsol-relaxed geometry.

abc: 3.590 3.590 4.593
angles: 90.00 90.00 90.00
Space group P4/mmm (No. 123)
Asymmetric unit:
Zn1 0.000 0.000 0.000
Fe1 0.000 0.000 0.500
Ru1 0.500 0.500 0.000
C1 0.000 0.500 0.500

Properties
- Energy: -15.724 eV per atom
- ΔH_f (0 K): 1.6097 eV per atom
- Spin magnetization: 2.00 μB/f.u.
- Calculated volume: 59.2 Å³/cell
- Mass density: 6.9 g/cm3


Entry 14:
VASP calculation (meta-GGA SCAN) on Fe2CS at its PBEsol-relaxed geometry.

abc: 5.237 5.237 5.237
angles: 90.00 90.00 90.00
Space group Fm-3m (No. 225)
Asymmetric unit:
Fe1 0.250 0.250 0.250
C1 0.000 0.000 0.000
S1 0.000 0.000 0.500

Properties
- Energy: -13.063 eV per atom
- Uncorrected formation energy: 0.934 eV per atom
- Spin magnetization: 2.93 μB/f.u.
- Calculated volume: 143.6 Å³/cell
- Mass density: 7.2 g/cm3


Entry 15:
VASP calculation (meta-GGA SCAN) on FeC3S at its PBEsol-relaxed geometry.

abc: 3.724 3.724 3.724
angles: 90.00 90.00 90.00
Space group Pm-3m (No. 221)
Asymmetric unit:
Fe1 0.000 0.000 0.000
C1 0.000 0.000 0.500
S1 0.500 0.500 0.500

Properties
- Energy: -9.416 eV per atom
- Uncorrected formation energy: 2.195 eV per atom
- Spin magnetization: 0.00 μB/f.u.
- Calculated volume: 51.6 Å³/cell
- Mass density: 4.0 g/cm3


Entry 16:
VASP calculation (meta-GGA SCAN) on Fe3CS at its PBEsol-relaxed geometry.

abc: 4.035 4.035 4.035
angles: 90.00 90.00 90.00
Space group Pm-3m (No. 221)
Asymmetric unit:
Fe1 0.000 0.000 0.500
C1 0.500 0.500 0.500
S1 0.000 0.000 0.000

Properties
- Energy: -13.396 eV per atom
- Uncorrected formation energy: 1.427 eV per atom
- Spin magnetization: 6.13 μB/f.u.
- Calculated volume: 65.7 Å³/cell
- Mass density: 5.3 g/cm3


Entry 17:
VASP calculation (meta-GGA SCAN) on FeCS3 at its PBEsol-relaxed geometry.

abc: 4.027 4.027 4.027
angles: 90.00 90.00 90.00
Space group Pm-3m (No. 221)
Asymmetric unit:
Fe1 0.000 0.000 0.000
C1 0.500 0.500 0.500
S1 0.000 0.500 0.500

Properties
- Energy: -10.121 eV per atom
- Uncorrected formation energy: 1.301 eV per atom
- Spin magnetization: 4.06 μB/f.u.
- Calculated volume: 65.3 Å³/cell
- Mass density: 4.2 g/cm3


Entry 18:
VASP calculation (meta-GGA SCAN) on FeSb3C at its PBEsol-relaxed geometry.

abc: 4.748 4.748 4.748
angles: 90.00 90.00 90.00
Space group Pm-3m (No. 221)
Asymmetric unit:
Fe1 0.000 0.000 0.000
Sb1 0.000 0.000 0.500
C1 0.500 0.500 0.500

Properties
- Energy: -26.398 eV per atom
- Uncorrected formation energy: 1.604 eV per atom
- Spin magnetization: 0.57 μB/f.u.
- Calculated volume: 107.0 Å³/cell
- Mass density: 6.7 g/cm3


Entry 19:
VASP calculation (meta-GGA SCAN) on ScFe2SbC at its PBEsol-relaxed geometry.

abc: 3.887 3.887 4.443
angles: 90.00 90.00 90.00
Space group P4/mmm (No. 123)
Asymmetric unit:
Sc1 0.000 0.000 0.000
Fe1 0.000 0.500 0.500
Sb1 0.500 0.500 0.000
C1 0.000 0.000 0.500

Properties
- Energy: -19.726 eV per atom
- Uncorrected formation energy: -0.155 eV per atom
- Spin magnetization: 5.05 μB/f.u.
- Calculated volume: 67.1 Å³/cell
- Mass density: 7.2 g/cm3


Entry 20:
VASP calculation (meta-GGA SCAN) on ScFeC2 at its PBEsol-relaxed geometry.

abc: 3.314 3.314 7.228
angles: 90.00 90.00 90.00
Space group P4/nmm (No. 129, origin choice 2)
Asymmetric unit:
Sc1 0.250 0.250 0.153
Fe1 0.250 0.750 0.500
C1 0.250 0.250 0.654
C2 0.250 0.250 0.851

Properties
- Energy: -13.420 eV per atom
- ΔH_f (0 K): -0.2787 eV per atom
- Spin magnetization: 1.03 μB/f.u.
- Calculated volume: 79.4 Å³/cell
- Mass density: 5.2 g/cm3